[1]
Material: MgBeZn
Method: DFT, GGA-PBE
State: optimized geometry

Results
Calculated volume in A^3/atom: 16.41
Space group: F-43m
Energy above the most stable polymorph in this dataset in eV/atom: 0.000

a b c (Å): 4.1141 4.1141 4.1141
angles (deg): 60.00 60.00 60.00
Positions (direct):
Mg: 0.2500 0.2500 0.2500
Zn: 0.7500 0.7500 0.7500
Be: 0.0000 0.0000 0.0000

[2]
Material: MgBeZn
Method: DFT, GGA-PBE
State: optimized geometry

Results
Calculated volume in A^3/atom: 18.15
Space group: F-43m
Energy above the most stable polymorph in this dataset in eV/atom: 0.395

a b c (Å): 4.2546 4.2546 4.2546
angles (deg): 60.00 60.00 60.00
Positions (direct):
Zn: 0.7500 0.7500 0.7500
Mg: 0.0000 0.0000 0.0000
Be: 0.2500 0.2500 0.2500

[3]
Material: BeMo
Method: DFT, GGA-PBE
State: optimized geometry

Results
Calculated volume in A^3/atom: 15.86
Space group: F-43m
Energy above the most stable polymorph in this dataset in eV/atom: 1.530

a b c (Å): 3.5531 3.5531 3.5531
angles (deg): 60.00 60.00 60.00
Positions (direct):
Be: 0.0000 0.0000 0.0000
Mo: 0.2500 0.2500 0.2500

[4]
Material: BeMo
Method: DFT, GGA-PBE
State: optimized geometry

Results
Calculated volume in A^3/atom: 12.24
Space group: Fm-3m
Energy above the most stable polymorph in this dataset in eV/atom: 0.000

a b c (Å): 3.2588 3.2588 3.2588
angles (deg): 60.00 60.00 60.00
Positions (direct):
Mo: 0.5000 0.5000 0.5000
Be: 0.0000 0.0000 0.0000

| no. | energy (eV per atom) |
| --- | --- |
| 1 | -1.9154 |
| 2 | -1.5204 |
| 3 | -5.5006 |
| 4 | -7.0308 |